# 1
# Sr2PaZn2O6, relaxed, DFT PBE-GGA
data_Sr2PaZn2O6
_chemical_formula_sum 'Sr2 Pa1 Zn2 O6'
_cell_length_a 6.0882
_cell_length_b 5.7522
_cell_length_c 6.6213
_cell_angle_alpha 111.87
_cell_angle_beta 90.00
_cell_angle_gamma 121.95
_space_group_name_H-M_alt 'P 1'
_space_group_IT_number 1
_space_group_name_Hall 'P 1'
loop_
_atom_site_label
_atom_site_type_symbol
_atom_site_fract_x
_atom_site_fract_y
_atom_site_fract_z
Sr1 Sr 0.7013 0.4025 0.1428
Sr2 Sr 0.2987 0.5975 0.8572
Pa1 Pa 0.5000 0.0000 0.5000
Zn1 Zn 0.9484 0.8969 0.6666
Zn2 Zn 0.0516 0.1031 0.3334
O1 O 0.7279 0.4557 0.5502
O2 O 0.2067 0.8735 0.1989
O3 O 0.3332 0.1265 0.8011
O4 O 0.7933 0.1265 0.8011
O5 O 0.6668 0.8735 0.1989
O6 O 0.2721 0.5443 0.4498
# - N(E_F): 0.258 states/eV per atom
# - Total DFT energy (no corrections): -6.5415 eV per atom
# - Total magnetic moment: 0.066 μB/atom

=====

# 2
# InCuIr2, relaxed, DFT PBE-GGA
data_InCuIr2
_chemical_formula_sum 'In1 Cu1 Ir2'
_cell_length_a 2.8421
_cell_length_b 2.8421
_cell_length_c 7.7077
_cell_angle_alpha 90.00
_cell_angle_beta 90.00
_cell_angle_gamma 90.00
_space_group_name_H-M_alt 'P 1'
_space_group_IT_number 1
_space_group_name_Hall 'P 1'
loop_
_atom_site_label
_atom_site_type_symbol
_atom_site_fract_x
_atom_site_fract_y
_atom_site_fract_z
Cu1 Cu 0.0000 0.0000 0.4836
In1 In 0.5000 0.5000 0.7467
Ir1 Ir 0.0000 0.0000 0.0172
Ir2 Ir 0.5000 0.5000 0.2524
# - N(E_F): 1.253 states/eV per atom
# - Energy of formation: 0.178 eV/atom
# - Total magnetic moment: 0.000 μB/atom

=====

# 3
# La6PmHo3, relaxed, DFT PBE-GGA
data_La6PmHo3
_chemical_formula_sum 'La6 Pm1 Ho3'
_cell_length_a 10.0492
_cell_length_b 10.0492
_cell_length_c 7.1000
_cell_angle_alpha 44.95
_cell_angle_beta 44.95
_cell_angle_gamma 60.00
_space_group_name_H-M_alt 'P 1'
_space_group_IT_number 1
_space_group_name_Hall 'P 1'
loop_
_atom_site_label
_atom_site_type_symbol
_atom_site_fract_x
_atom_site_fract_y
_atom_site_fract_z
La1 La 0.8998 0.5739 0.3003
La2 La 0.2261 0.8998 0.3003
La3 La 0.5739 0.2261 0.3003
La4 La 0.0733 0.3999 0.8002
La5 La 0.7265 0.0733 0.8002
La6 La 0.3999 0.7265 0.8002
Pm1 Pm 0.9001 0.9001 0.2996
Ho1 Ho 0.4001 0.4001 0.7997
Ho2 Ho 0.6478 0.6478 0.0567
Ho3 Ho 0.1525 0.1525 0.5425
# - N(E_F): 1.875 states/eV per atom
# - Energy of formation: 0.190 eV/atom
# - Total magnetic moment: 0.001 μB/atom
# - ΔE to the lowest computed polymorph: 66 meV/atom

=====

# 4
# H3Ru, relaxed, DFT PBE-GGA
data_H3Ru
_chemical_formula_sum 'H3 Ru1'
_cell_length_a 2.8211
_cell_length_b 2.8212
_cell_length_c 2.8858
_cell_angle_alpha 90.00
_cell_angle_beta 90.00
_cell_angle_gamma 90.00
_space_group_name_H-M_alt 'P 1'
_space_group_IT_number 1
_space_group_name_Hall 'P 1'
loop_
_atom_site_label
_atom_site_type_symbol
_atom_site_fract_x
_atom_site_fract_y
_atom_site_fract_z
Ru1 Ru 0.0000 0.0000 0.9835
H1 H 0.0000 0.5000 0.3844
H2 H 0.5000 0.0000 0.3846
H3 H 0.5000 0.5000 0.9140
# - N(E_F): 0.492 states/eV per atom
# - Total magnetic moment: 0.000 μB/atom
# - ΔE to the lowest computed polymorph: 0 meV/atom

=====

# 5
# SrSi2Ag, relaxed, DFT PBE-GGA
data_SrSi2Ag
_chemical_formula_sum 'Sr1 Si2 Ag1'
_cell_length_a 3.4520
_cell_length_b 3.4520
_cell_length_c 7.1426
_cell_angle_alpha 90.00
_cell_angle_beta 90.00
_cell_angle_gamma 90.00
_space_group_name_H-M_alt 'P 1'
_space_group_IT_number 1
_space_group_name_Hall 'P 1'
loop_
_atom_site_label
_atom_site_type_symbol
_atom_site_fract_x
_atom_site_fract_y
_atom_site_fract_z
Ag1 Ag 0.5000 0.5000 0.8088
Si1 Si 0.0000 0.0000 0.0321
Si2 Si 0.5000 0.5000 0.1732
Sr1 Sr 0.0000 0.0000 0.4858
# - N(E_F): 0.707 states/eV per atom
# - Total DFT energy (no corrections): -3.7651 eV per atom
# - Total magnetic moment: 0.000 μB/atom

=====

# 6
# Ba12NaSn4O3, relaxed, DFT PBE-GGA
data_Ba12NaSn4O3
_chemical_formula_sum 'Ba12 Na1 Sn4 O3'
_cell_length_a 9.8935
_cell_length_b 9.8935
_cell_length_c 9.8935
_cell_angle_alpha 109.47
_cell_angle_beta 109.47
_cell_angle_gamma 109.47
_space_group_name_H-M_alt 'P 1'
_space_group_IT_number 1
_space_group_name_Hall 'P 1'
loop_
_atom_site_label
_atom_site_type_symbol
_atom_site_fract_x
_atom_site_fract_y
_atom_site_fract_z
Ba1 Ba 0.2500 0.5000 0.7500
Ba2 Ba 0.7231 0.0000 0.7231
Ba3 Ba 0.2769 0.0000 0.2769
Ba4 Ba 0.7500 0.5000 0.2500
Ba5 Ba 0.7231 0.7231 0.0000
Ba6 Ba 0.2769 0.2769 0.0000
Ba7 Ba 0.7500 0.2500 0.5000
Ba8 Ba 0.2500 0.7500 0.5000
Ba9 Ba 0.5000 0.2500 0.7500
Ba10 Ba 0.0000 0.7231 0.7231
Ba11 Ba 0.5000 0.7500 0.2500
Ba12 Ba 0.0000 0.2769 0.2769
Na1 Na 0.0000 0.0000 0.0000
Sn1 Sn 0.5000 0.5000 0.5000
Sn2 Sn 0.0000 0.0000 0.5000
Sn3 Sn 0.5000 0.0000 0.0000
Sn4 Sn 0.0000 0.5000 0.0000
O1 O 0.5000 0.0000 0.5000
O2 O 0.5000 0.5000 0.0000
O3 O 0.0000 0.5000 0.5000
# - N(E_F): 0.269 states/eV per atom
# - Total DFT energy (no corrections): -3.7181 eV per atom
# - Total magnetic moment: 0.000 μB/atom

=====

# 7
# BaAlTlV2, relaxed, DFT PBE-GGA
data_BaAlTlV2
_chemical_formula_sum 'Ba1 Al1 Tl1 V2'
_cell_length_a 5.0877
_cell_length_b 6.1368
_cell_length_c 5.0877
_cell_angle_alpha 90.00
_cell_angle_beta 90.00
_cell_angle_gamma 90.00
_space_group_name_H-M_alt 'P 1'
_space_group_IT_number 1
_space_group_name_Hall 'P 1'
loop_
_atom_site_label
_atom_site_type_symbol
_atom_site_fract_x
_atom_site_fract_y
_atom_site_fract_z
Tl1 Tl 0.5000 0.5000 0.5000
Al1 Al 0.0000 0.0000 0.0000
Ba1 Ba 0.0000 0.5000 0.0000
V1 V 0.0000 0.0000 0.5000
V2 V 0.5000 0.0000 0.0000
# - N(E_F): 1.949 states/eV per atom
# - Energy of formation: 1.002 eV/atom
# - Total magnetic moment: 1.434 μB/atom

=====

# 8
# CuTcF2, relaxed, DFT PBE-GGA
data_CuTcF2
_chemical_formula_sum 'Cu2 Tc2 F4'
_cell_length_a 6.9551
_cell_length_b 6.9551
_cell_length_c 5.5416
_cell_angle_alpha 51.13
_cell_angle_beta 51.13
_cell_angle_gamma 90.00
_space_group_name_H-M_alt 'P 1'
_space_group_IT_number 1
_space_group_name_Hall 'P 1'
loop_
_atom_site_label
_atom_site_type_symbol
_atom_site_fract_x
_atom_site_fract_y
_atom_site_fract_z
Tc1 Tc 0.0000 0.0000 0.0000
Tc2 Tc 0.7500 0.2500 0.5000
Cu1 Cu 0.5000 0.5000 0.0000
Cu2 Cu 0.2500 0.7500 0.5000
F1 F 0.7214 0.1250 0.2500
F2 F 0.0286 0.6250 0.2500
F3 F 0.3750 0.2786 0.7500
F4 F 0.8750 0.9714 0.7500
# - N(E_F): 0.439 states/eV per atom
# - Total magnetic moment: 0.939 μB/atom
# - ΔE to the lowest computed polymorph: 515 meV/atom